Entry from OQMD via LeMat-Bulk: a relaxed CsAlHgS3 crystal (PBE-GGA).

a b c (Å): 8.332 8.332 10.420
angles (deg): 90.00 90.00 153.96
Fractional positions:
Cs 0.219 0.781 0.750
Cs 0.781 0.219 0.250
Al 0.500 0.500 0.000
Al 0.500 0.500 0.500
Hg 0.076 0.924 0.250
Hg 0.924 0.076 0.750
S 0.101 0.899 0.020
S 0.101 0.899 0.480
S 0.459 0.541 0.250
S 0.541 0.459 0.750
S 0.899 0.101 0.520
S 0.899 0.101 0.980

Raw total energy (eV/atom): -3.563